DFT (PBE-GGA) results for a geometry-optimized Dy2LuMn structure.

V (Å³/cell): 105.5
DOS at the Fermi energy (states/eV/f.u.): 6.0
ΔE_f (eV/f.u.): 0.52
Excess energy over the best structure of this formula in the dataset (eV/f.u.): 0.00

The structure in CIF format:
```
data_Dy2LuMn
_symmetry_space_group_name_H-M 'P 1'
_symmetry_Int_Tables_number 1
_symmetry_space_group_name_Hall 'P 1'
_cell_length_a 3.522
_cell_length_b 3.522
_cell_length_c 8.505
_cell_angle_alpha 90.00
_cell_angle_beta 90.00
_cell_angle_gamma 90.00
loop_
_atom_site_label
_atom_site_fract_x
_atom_site_fract_y
_atom_site_fract_z
Dy1 0.000 0.000 0.206
Dy2 0.000 0.000 0.794
Lu1 0.500 0.500 0.500
Mn1 0.500 0.500 0.000
```

=====

DFT (PBE-GGA) results for a geometry-optimized SrMo2Pt structure.

V (Å³/cell): 76.7
DOS at the Fermi energy (states/eV/f.u.): 3.8
ΔE_f (eV/f.u.): 1.55
Excess energy over the best structure of this formula in the dataset (eV/f.u.): 0.71

The structure in CIF format:
```
data_SrMo2Pt
_symmetry_space_group_name_H-M 'P 1'
_symmetry_Int_Tables_number 1
_symmetry_space_group_name_Hall 'P 1'
_cell_length_a 2.930
_cell_length_b 2.930
_cell_length_c 9.178
_cell_angle_alpha 90.00
_cell_angle_beta 90.00
_cell_angle_gamma 103.14
loop_
_atom_site_label
_atom_site_fract_x
_atom_site_fract_y
_atom_site_fract_z
Sr1 0.000 0.000 0.000
Mo1 0.000 0.000 0.517
Mo2 0.500 0.500 0.305
Pt1 0.500 0.500 0.728
```

=====

DFT (PBE-GGA) results for a geometry-optimized Li2BiIrN structure.

V (Å³/cell): 75.5
Raw formation energy (eV per atom): -0.25
DOS at the Fermi energy (states/eV/f.u.): 2.5

The structure in CIF format:
```
data_Li2BiIrN
_symmetry_space_group_name_H-M 'P 1'
_symmetry_Int_Tables_number 1
_symmetry_space_group_name_Hall 'P 1'
_cell_length_a 4.442
_cell_length_b 4.442
_cell_length_c 3.824
_cell_angle_alpha 90.00
_cell_angle_beta 90.00
_cell_angle_gamma 90.00
loop_
_atom_site_label
_atom_site_fract_x
_atom_site_fract_y
_atom_site_fract_z
Li1 0.000 0.500 0.000
Li2 0.500 0.000 0.000
Bi1 0.000 0.000 0.500
Ir1 0.500 0.500 0.500
N1 0.500 0.500 0.000
```

=====

DFT (PBE-GGA) results for a geometry-optimized Li2TiIrC structure.

V (Å³/cell): 109.2
DOS at the Fermi energy (states/eV/f.u.): 4.6
ΔE_f (eV/f.u.): 10.56

The structure in CIF format:
```
data_Li2TiIrC
_symmetry_space_group_name_H-M 'P 1'
_symmetry_Int_Tables_number 1
_symmetry_space_group_name_Hall 'P 1'
_cell_length_a 4.977
_cell_length_b 4.977
_cell_length_c 4.410
_cell_angle_alpha 90.00
_cell_angle_beta 90.00
_cell_angle_gamma 90.00
loop_
_atom_site_label
_atom_site_fract_x
_atom_site_fract_y
_atom_site_fract_z
Li1 0.000 0.500 0.000
Li2 0.500 0.000 0.000
Ti1 0.000 0.000 0.000
Ir1 0.000 0.000 0.500
C1 0.500 0.500 0.500
```

=====

DFT (PBE-GGA) results for a geometry-optimized TaMnOs2 structure.

V (Å³/cell): 59.7
DOS at the Fermi energy (states/eV/f.u.): 4.9
ΔE_f (eV/f.u.): 0.83

The structure in CIF format:
```
data_TaMnOs2
_symmetry_space_group_name_H-M 'P 1'
_symmetry_Int_Tables_number 1
_symmetry_space_group_name_Hall 'P 1'
_cell_length_a 9.119
_cell_length_b 9.119
_cell_length_c 9.119
_cell_angle_alpha 17.48
_cell_angle_beta 17.48
_cell_angle_gamma 17.48
loop_
_atom_site_label
_atom_site_fract_x
_atom_site_fract_y
_atom_site_fract_z
Ta1 0.000 0.000 0.000
Mn1 0.752 0.752 0.752
Os1 0.245 0.245 0.245
Os2 0.496 0.496 0.496
```

=====

DFT (PBE-GGA) results for a geometry-optimized HfMn2SbPd structure.

V (Å³/cell): 101.4
Raw formation energy (eV per atom): 1.13
DOS at the Fermi energy (states/eV/f.u.): 6.3

The structure in CIF format:
```
data_HfMn2SbPd
_symmetry_space_group_name_H-M 'P 1'
_symmetry_Int_Tables_number 1
_symmetry_space_group_name_Hall 'P 1'
_cell_length_a 4.615
_cell_length_b 4.615
_cell_length_c 4.763
_cell_angle_alpha 90.00
_cell_angle_beta 90.00
_cell_angle_gamma 90.00
loop_
_atom_site_label
_atom_site_fract_x
_atom_site_fract_y
_atom_site_fract_z
Hf1 0.000 0.000 0.000
Mn1 0.000 0.500 0.500
Mn2 0.500 0.000 0.500
Sb1 0.500 0.500 0.500
Pd1 0.500 0.500 0.000
```

=====

DFT (PBE-GGA) results for a geometry-optimized CeBe17Os structure.

V (Å³/cell): 179.2
DOS at the Fermi energy (states/eV/f.u.): 8.3
ΔE_f (eV/f.u.): -0.42

The structure in CIF format:
```
data_CeBe17Os
_symmetry_space_group_name_H-M 'P 1'
_symmetry_Int_Tables_number 1
_symmetry_space_group_name_Hall 'P 1'
_cell_length_a 5.675
_cell_length_b 5.675
_cell_length_c 5.675
_cell_angle_alpha 83.16
_cell_angle_beta 83.16
_cell_angle_gamma 83.16
loop_
_atom_site_label
_atom_site_fract_x
_atom_site_fract_y
_atom_site_fract_z
Ce1 0.000 0.000 0.000
Be1 0.045 0.351 0.628
Be2 0.045 0.628 0.351
Be3 0.209 0.680 0.680
Be4 0.250 0.250 0.250
Be5 0.338 0.338 0.845
Be6 0.338 0.845 0.338
Be7 0.351 0.045 0.628
Be8 0.351 0.628 0.045
Be9 0.442 0.442 0.442
Be10 0.506 0.991 0.991
Be11 0.628 0.045 0.351
Be12 0.628 0.351 0.045
Be13 0.680 0.209 0.680
Be14 0.680 0.680 0.209
Be15 0.845 0.338 0.338
Be16 0.991 0.506 0.991
Be17 0.991 0.991 0.506
Os1 0.662 0.662 0.662
```

=====

DFT (PBE-GGA) results for a geometry-optimized Sm3Dy8Sc4 structure.

V (Å³/cell): 462.7
DOS at the Fermi energy (states/eV/f.u.): 25.1
ΔE_f (eV/f.u.): 5.75

The structure in CIF format:
```
data_Sm3Dy8Sc4
_symmetry_space_group_name_H-M 'P 1'
_symmetry_Int_Tables_number 1
_symmetry_space_group_name_Hall 'P 1'
_cell_length_a 8.834
_cell_length_b 8.834
_cell_length_c 6.609
_cell_angle_alpha 108.71
_cell_angle_beta 108.71
_cell_angle_gamma 84.62
loop_
_atom_site_label
_atom_site_fract_x
_atom_site_fract_y
_atom_site_fract_z
Sm1 0.000 0.000 0.000
Sm2 0.000 0.500 0.500
Sm3 0.500 0.000 0.500
Dy1 0.203 0.203 0.662
Dy2 0.207 0.793 0.500
Dy3 0.260 0.740 0.000
Dy4 0.268 0.268 0.190
Dy5 0.732 0.732 0.810
Dy6 0.740 0.260 0.000
Dy7 0.793 0.207 0.500
Dy8 0.797 0.797 0.338
Sc1 0.000 0.500 0.000
Sc2 0.500 0.000 0.000
Sc3 0.500 0.500 0.000
Sc4 0.500 0.500 0.500
```

=====

DFT (PBE-GGA) results for a geometry-optimized Y4Tm4Th structure.

V (Å³/cell): 282.6
DOS at the Fermi energy (states/eV/f.u.): 14.9
ΔE_f (eV/f.u.): 0.29
Excess energy over the best structure of this formula in the dataset (eV/f.u.): 0.00

The structure in CIF format:
```
data_Y4Tm4Th
_symmetry_space_group_name_H-M 'P 1'
_symmetry_Int_Tables_number 1
_symmetry_space_group_name_Hall 'P 1'
_cell_length_a 7.922
_cell_length_b 7.922
_cell_length_c 7.922
_cell_angle_alpha 95.72
_cell_angle_beta 95.72
_cell_angle_gamma 143.20
loop_
_atom_site_label
_atom_site_fract_x
_atom_site_fract_y
_atom_site_fract_z
Y1 0.000 0.330 0.330
Y2 0.000 0.670 0.670
Y3 0.330 0.000 0.330
Y4 0.670 0.000 0.670
Tm1 0.336 0.336 0.672
Tm2 0.336 0.664 0.000
Tm3 0.664 0.336 0.000
Tm4 0.664 0.664 0.328
Th1 0.000 0.000 0.000
```

=====

DFT (PBE-GGA) results for a geometry-optimized AcGd2Lu structure.

V (Å³/cell): 139.0
DOS at the Fermi energy (states/eV/f.u.): 6.9
ΔE_f (eV/f.u.): 0.23
Excess energy over the best structure of this formula in the dataset (eV/f.u.): 0.03

The structure in CIF format:
```
data_AcGd2Lu
_symmetry_space_group_name_H-M 'P 1'
_symmetry_Int_Tables_number 1
_symmetry_space_group_name_Hall 'P 1'
_cell_length_a 3.705
_cell_length_b 3.705
_cell_length_c 10.125
_cell_angle_alpha 90.00
_cell_angle_beta 90.00
_cell_angle_gamma 90.00
loop_
_atom_site_label
_atom_site_fract_x
_atom_site_fract_y
_atom_site_fract_z
Ac1 0.000 0.000 0.000
Gd1 0.500 0.500 0.269
Gd2 0.500 0.500 0.731
Lu1 0.000 0.000 0.500
```

=====

DFT (PBE-GGA) results for a geometry-optimized ZrIn2W structure.

V (Å³/cell): 80.5
DOS at the Fermi energy (states/eV/f.u.): 2.1
ΔE_f (eV/f.u.): 1.00
Excess energy over the best structure of this formula in the dataset (eV/f.u.): 0.16

The structure in CIF format:
```
data_ZrIn2W
_symmetry_space_group_name_H-M 'P 1'
_symmetry_Int_Tables_number 1
_symmetry_space_group_name_Hall 'P 1'
_cell_length_a 5.517
_cell_length_b 5.517
_cell_length_c 2.963
_cell_angle_alpha 95.54
_cell_angle_beta 95.54
_cell_angle_gamma 114.83
loop_
_atom_site_label
_atom_site_fract_x
_atom_site_fract_y
_atom_site_fract_z
Zr1 0.000 0.000 0.000
In1 0.000 0.500 0.500
In2 0.500 0.000 0.500
W1 0.500 0.500 0.000
```

=====

DFT (PBE-GGA) results for a geometry-optimized TeP2Pb2 structure.

V (Å³/cell): 260.2
Raw formation energy (eV per atom): 0.25
DOS at the Fermi energy (states/eV/f.u.): 2.4
Excess energy over the best structure of this formula in the dataset (eV/f.u.): 0.62

The structure in CIF format:
```
data_TeP2Pb2
_symmetry_space_group_name_H-M 'P 1'
_symmetry_Int_Tables_number 1
_symmetry_space_group_name_Hall 'P 1'
_cell_length_a 7.962
_cell_length_b 7.962
_cell_length_c 4.104
_cell_angle_alpha 90.00
_cell_angle_beta 90.00
_cell_angle_gamma 90.00
loop_
_atom_site_label
_atom_site_fract_x
_atom_site_fract_y
_atom_site_fract_z
Te1 0.000 0.000 0.000
Te2 0.500 0.500 0.000
P1 0.181 0.319 0.000
P2 0.319 0.819 0.000
P3 0.681 0.181 0.000
P4 0.819 0.681 0.000
Pb1 0.146 0.646 0.500
Pb2 0.354 0.146 0.500
Pb3 0.646 0.854 0.500
Pb4 0.854 0.354 0.500
```

=====

DFT (PBE-GGA) results for a geometry-optimized PrScNi2 structure.

V (Å³/cell): 79.7
DOS at the Fermi energy (states/eV/f.u.): 3.2
ΔE_f (eV/f.u.): -1.28
Excess energy over the best structure of this formula in the dataset (eV/f.u.): 0.00

The structure in CIF format:
```
data_PrScNi2
_symmetry_space_group_name_H-M 'P 1'
_symmetry_Int_Tables_number 1
_symmetry_space_group_name_Hall 'P 1'
_cell_length_a 5.360
_cell_length_b 5.360
_cell_length_c 5.360
_cell_angle_alpha 48.68
_cell_angle_beta 48.68
_cell_angle_gamma 48.68
loop_
_atom_site_label
_atom_site_fract_x
_atom_site_fract_y
_atom_site_fract_z
Pr1 0.000 0.000 0.000
Sc1 0.500 0.500 0.500
Ni1 0.211 0.211 0.211
Ni2 0.789 0.789 0.789
```